Entry 1:
Below is a geometry-optimized Ca2LaSb structure, with properties calculated at the GGA-PBE level.

Properties
Formation energy without anion corrections = -0.337 eV per atom

abc: 6.857 11.923 3.612
angles: 90.00 115.22 90.00
Space group C2/m (No. 12)
Asymmetric unit:
Ca 0.250 0.250 0.000 x4
La 0.000 0.000 0.500 x2
Sb 0.000 0.500 0.500 x2

=====

Entry 2:
Below is a geometry-optimized Ca2La3Sb3 structure, with properties calculated at the GGA-PBE level.

Properties
Formation energy without anion corrections = -0.963 eV per atom

abc: 9.3768 9.3768 6.7315
angles: 90.00 90.00 120.00
Space group P6_3/mcm (No. 193)
Asymmetric unit:
Ca 0.3333 0.6667 0.0000 x4
La 0.0000 0.2496 0.2500 x6
Sb 0.0000 0.3914 0.7500 x6

=====

Entry 3:
Below is a geometry-optimized Ca2LaSb2 structure, with properties calculated at the GGA-PBE level.

Properties
Formation energy without anion corrections = -0.774 eV per atom
Relative energy among the computed polymorphs = 133 meV/atom

abc: 4.696 4.696 14.386
angles: 90.00 90.00 90.00
Space group I4/mmm (No. 139)
Asymmetric unit:
Ca 0.000 0.500 0.250 x4
La 0.000 0.000 0.000 x2
Sb 0.000 0.000 0.394 x4

=====

Entry 4:
Below is a geometry-optimized Ca2LaSb structure, with properties calculated at the GGA-PBE level.

Properties
Formation energy without anion corrections = -0.436 eV per atom

abc: 4.348 4.330 6.979
angles: 90.00 90.32 90.00
Space group P2/m (No. 10)
Asymmetric unit:
Ca 0.003 0.000 0.277 x2
La 0.500 0.500 0.000 x1
Sb 0.500 0.500 0.500 x1

=====

Entry 5:
Below is a geometry-optimized CaLa4Sb5 structure, with properties calculated at the GGA-PBE level.

Properties
Formation energy without anion corrections = -1.158 eV per atom

abc: 4.623 6.525 23.069
angles: 90.00 90.00 90.00
Space group Immm (No. 71)
Asymmetric unit:
Ca 0.000 0.000 0.000 x2
La 0.000 0.000 0.199 x4
La 0.000 0.000 0.402 x4
Sb 0.000 0.500 0.000 x2
Sb 0.000 0.500 0.199 x4
Sb 0.000 0.500 0.399 x4

=====

Entry 6:
Below is a geometry-optimized Ca2LaSb structure, with properties calculated at the GGA-PBE level.

Properties
Formation energy without anion corrections = -0.469 eV per atom

abc: 4.775 4.775 11.797
angles: 90.00 90.00 90.00
Space group I4/mmm (No. 139)
Asymmetric unit:
Ca 0.000 0.500 0.250 x4
La 0.000 0.000 0.000 x2
Sb 0.000 0.000 0.500 x2

=====

Entry 7:
Below is a geometry-optimized CaLa2Sb structure, with properties calculated at the GGA-PBE level.

Properties
Formation energy without anion corrections = -0.451 eV per atom

abc: 4.3014 4.3014 30.4334
angles: 90.00 90.00 120.00
Space group R-3m (No. 166, hexagonal axes)
Asymmetric unit:
Ca 0.0000 0.0000 0.0000 x3
La 0.0000 0.0000 0.2308 x6
Sb 0.0000 0.0000 0.5000 x3

=====

Entry 8:
Below is a geometry-optimized Ca3LaSb3 structure, with properties calculated at the GGA-PBE level.

Properties
Formation energy without anion corrections = -1.107 eV per atom

abc: 9.597 9.597 9.597
angles: 90.00 90.00 90.00
Space group P2_13 (No. 198)
Asymmetric unit:
Ca 0.070 0.430 0.570 x4
Ca 0.176 0.176 0.176 x4
Ca 0.179 0.821 0.321 x4
La 0.068 0.568 0.932 x4
Sb 0.000 0.248 0.873 x12

=====

Entry 9:
Below is a geometry-optimized Ca2LaSb structure, with properties calculated at the GGA-PBE level.

Properties
Formation energy without anion corrections = -0.387 eV per atom

abc: 3.844 3.844 9.433
angles: 90.00 90.00 90.00
Space group P4/mmm (No. 123)
Asymmetric unit:
Ca 0.000 0.000 0.192 x2
La 0.500 0.500 0.500 x1
Sb 0.500 0.500 0.000 x1

=====

Entry 10:
Below is a geometry-optimized CaLa2Sb structure, with properties calculated at the GGA-PBE level.

Properties
Formation energy without anion corrections = -0.328 eV per atom

abc: 9.386 9.386 6.564
angles: 90.00 90.00 90.00
Space group I-42d (No. 122)
Asymmetric unit:
Ca 0.000 0.000 0.000 x4
La 0.210 0.750 0.625 x8
Sb 0.000 0.000 0.500 x4

=====

Entry 11:
Below is a geometry-optimized Ca2LaSb structure, with properties calculated at the GGA-PBE level.

Properties
Formation energy without anion corrections = -0.532 eV per atom

abc: 4.634 4.410 7.665
angles: 90.00 107.45 90.00
Space group Pm (No. 6)
Asymmetric unit:
Ca 0.000 0.000 0.000 x1
Ca 0.372 0.500 0.743 x1
La 0.722 0.000 0.443 x1
Sb 0.158 0.500 0.311 x1

=====

Entry 12:
Below is a geometry-optimized Ca2LaSb2 structure, with properties calculated at the GGA-PBE level.

Properties
Formation energy without anion corrections = -0.907 eV per atom
Relative energy among the computed polymorphs = 0 meV/atom

abc: 8.684 8.684 4.289
angles: 90.00 90.00 90.00
Space group P4/mbm (No. 127)
Asymmetric unit:
Ca 0.142 0.358 0.000 x4
La 0.000 0.000 0.500 x2
Sb 0.161 0.661 0.500 x4

=====

Entry 13:
Below is a geometry-optimized Ca2LaSb structure, with properties calculated at the GGA-PBE level.

Properties
Formation energy without anion corrections = -0.259 eV per atom

abc: 3.7962 3.7962 33.9891
angles: 90.00 90.00 120.00
Space group R-3m (No. 166, hexagonal axes)
Asymmetric unit:
Ca 0.0000 0.0000 0.2359 x6
La 0.0000 0.0000 0.0000 x3
Sb 0.0000 0.0000 0.5000 x3

=====

Entry 14:
Below is a geometry-optimized CaLa2Sb structure, with properties calculated at the GGA-PBE level.

Properties
Formation energy without anion corrections = -0.247 eV per atom

abc: 7.932 7.932 7.932
angles: 90.00 90.00 90.00
Space group F-43m (No. 216)
Asymmetric unit:
Ca 0.000 0.000 0.000 x4
La 0.000 0.000 0.500 x4
La 0.250 0.250 0.750 x4
Sb 0.250 0.250 0.250 x4

=====

Entry 15:
Below is a geometry-optimized CaLaSb3 structure, with properties calculated at the GGA-PBE level.

Properties
Formation energy without anion corrections = -0.055 eV per atom
Relative energy among the computed polymorphs = 0 meV/atom

abc: 5.600 5.600 5.600
angles: 90.00 90.00 90.00
Space group Pm-3m (No. 221)
Asymmetric unit:
Ca 0.000 0.000 0.000 x1
La 0.500 0.500 0.500 x1
Sb 0.000 0.000 0.500 x3

=====

Entry 16:
Below is a geometry-optimized CaLa5Sb6 structure, with properties calculated at the GGA-PBE level.

Properties
Formation energy without anion corrections = -1.181 eV per atom

abc: 7.992 13.861 8.009
angles: 90.00 109.49 90.00
Space group C2/m (No. 12)
Asymmetric unit:
Ca 0.000 0.000 0.000 x2
La 0.000 0.166 0.500 x4
La 0.000 0.333 0.000 x4
La 0.000 0.500 0.500 x2
Sb 0.249 0.333 0.750 x8
Sb 0.249 0.500 0.251 x4

=====

Entry 17:
Below is a geometry-optimized CaLa2Sb structure, with properties calculated at the GGA-PBE level.

Properties
Formation energy without anion corrections = -0.491 eV per atom

abc: 4.883 4.883 10.785
angles: 90.00 90.00 90.00
Space group I4/mmm (No. 139)
Asymmetric unit:
Ca 0.000 0.000 0.000 x2
La 0.000 0.500 0.250 x4
Sb 0.000 0.000 0.500 x2

=====

Entry 18:
Below is a geometry-optimized CaLaSb3 structure, with properties calculated at the GGA-PBE level.

Properties
Formation energy without anion corrections = 0.026 eV per atom
Relative energy among the computed polymorphs = 82 meV/atom

abc: 5.964 5.964 5.964
angles: 90.00 90.00 90.00
Space group Pm-3m (No. 221)
Asymmetric unit:
Ca 0.000 0.000 0.000 x1
La 0.500 0.500 0.500 x1
Sb 0.000 0.500 0.500 x3

=====

Entry 19:
Below is a geometry-optimized CaLaSb4 structure, with properties calculated at the GGA-PBE level.

Properties
Formation energy without anion corrections = -0.733 eV per atom
Relative energy among the computed polymorphs = 0 meV/atom

abc: 6.298 9.809 6.544
angles: 90.00 90.00 90.00
Space group Cmmm (No. 65)
Asymmetric unit:
Ca 0.000 0.000 0.000 x2
La 0.000 0.500 0.500 x2
Sb 0.250 0.250 0.244 x8

=====

Entry 20:
Below is a geometry-optimized CaLaSb4 structure, with properties calculated at the GGA-PBE level.

Properties
Formation energy without anion corrections = -0.348 eV per atom
Relative energy among the computed polymorphs = 384 meV/atom

abc: 8.999 8.999 8.999
angles: 90.00 90.00 90.00
Space group F-43m (No. 216)
Asymmetric unit:
Ca 0.000 0.000 0.000 x4
La 0.250 0.250 0.750 x4
Sb 0.126 0.126 0.374 x16

=====

Entry 21:
Below is a geometry-optimized CaLa2Sb structure, with properties calculated at the GGA-PBE level.

Properties
Formation energy without anion corrections = -0.556 eV per atom

abc: 4.361 4.361 7.049
angles: 90.00 90.00 90.00
Space group P4/mmm (No. 123)
Asymmetric unit:
Ca 0.000 0.000 0.000 x1
La 0.500 0.500 0.275 x2
Sb 0.000 0.000 0.500 x1

=====

Entry 22:
Below is a geometry-optimized CaLa2Sb structure, with properties calculated at the GGA-PBE level.

Properties
Formation energy without anion corrections = -0.481 eV per atom

abc: 4.885 4.885 10.646
angles: 90.00 90.00 90.00
Space group I-4m2 (No. 119)
Asymmetric unit:
Ca 0.000 0.000 0.000 x2
La 0.000 0.000 0.500 x2
La 0.000 0.500 0.750 x2
Sb 0.000 0.500 0.250 x2

=====

Entry 23:
Below is a geometry-optimized CaLa2Sb structure, with properties calculated at the GGA-PBE level.

Properties
Formation energy without anion corrections = -0.533 eV per atom

abc: 4.962 4.962 5.101
angles: 90.00 90.00 90.00
Space group P4/mmm (No. 123)
Asymmetric unit:
Ca 0.000 0.000 0.000 x1
La 0.000 0.500 0.500 x2
Sb 0.500 0.500 0.000 x1

=====

Entry 24:
Below is a geometry-optimized Ca2LaSb structure, with properties calculated at the GGA-PBE level.

Properties
Formation energy without anion corrections = -0.517 eV per atom

abc: 4.313 4.313 7.211
angles: 90.00 90.00 90.00
Space group P4mm (No. 99)
Asymmetric unit:
Ca 0.000 0.000 0.000 x1
Ca 0.500 0.500 0.276 x1
La 0.000 0.000 0.552 x1
Sb 0.500 0.500 0.756 x1

=====

Entry 25:
Below is a geometry-optimized Ca2LaSb structure, with properties calculated at the GGA-PBE level.

Properties
Formation energy without anion corrections = -0.482 eV per atom

abc: 4.389 5.319 11.547
angles: 90.00 90.00 90.00
Space group Imm2 (No. 44)
Asymmetric unit:
Ca 0.000 0.000 0.000 x2
Ca 0.000 0.500 0.210 x2
La 0.000 0.500 0.781 x2
Sb 0.000 0.000 0.507 x2

=====

Entry 26:
Below is a geometry-optimized CaLa2Sb structure, with properties calculated at the GGA-PBE level.

Properties
Formation energy without anion corrections = -0.444 eV per atom

abc: 4.3016 4.3016 30.7173
angles: 90.00 90.00 120.00
Space group R3m (No. 160, hexagonal axes)
Asymmetric unit:
Ca 0.0000 0.0000 0.0000 x3
La 0.0000 0.0000 0.2304 x3
La 0.0000 0.0000 0.4369 x3
Sb 0.0000 0.0000 0.8337 x3